# 1
DFT (PBE-GGA) results for a geometry-optimized LiAgSn2 structure.

Cell and atoms, written as POSCAR:
```
LiAgSn2
1.0
-2.3851 2.0174 1.6274
-2.5847 -1.6860 -1.6981
-0.3866 -4.6817 5.2369
Sn Li Ag
2 1 1
direct
0.0000 0.0000 0.7465 Sn
0.0000 0.0000 0.2535 Sn
0.5000 0.5000 0.0000 Li
0.5000 0.5000 0.5000 Ag
```

## Properties
The density of states at the Fermi level is 1.69 states/eV/f.u. The value obtained for the polymorph energy (0 for the lowest one) is 1.12 kcal/mol of atoms. Its formation energy is -39 kJ/mol of formula units.


# 2
DFT (PBE-GGA) results for a geometry-optimized Ac6CoRhPb2 structure.

Cell and atoms, written as POSCAR:
```
Ac6CoRhPb2
1.0
-7.1546 -3.5173 -0.0678
-0.6400 -7.6959 -1.9817
-1.1145 -6.9898 11.4668
Ac Pb Rh Co
12 4 2 2
direct
0.8964 0.3604 0.3828 Ac
0.2877 0.7927 0.1270 Ac
0.6396 0.1036 0.6172 Ac
0.7927 0.2877 0.1270 Ac
0.6396 0.6396 0.6172 Ac
0.2073 0.2073 0.8730 Ac
0.3604 0.8964 0.3828 Ac
0.1036 0.6396 0.6172 Ac
0.3604 0.3604 0.3828 Ac
0.7927 0.7927 0.1270 Ac
0.2073 0.7123 0.8730 Ac
0.7123 0.2073 0.8730 Ac
0.2924 0.2924 0.1229 Pb
0.7076 0.7076 0.8771 Pb
0.8763 0.8763 0.3711 Pb
0.1237 0.1237 0.6289 Pb
0.4205 0.4205 0.7385 Rh
0.5795 0.5795 0.2615 Rh
0.5000 0.5000 0.5000 Co
0.0000 0.0000 0.0000 Co
```

## Properties
The density of states at the Fermi level is 8.06 states/eV/f.u. Its formation energy is -378 kJ/mol of formula units.


# 3
DFT (PBE-GGA) results for a geometry-optimized NdDy6Er2Th structure.

Cell and atoms, written as POSCAR:
```
NdDy6Er2Th
1.0
9.0893 -2.0131 -2.0891
0.8567 8.4936 -1.9295
0.8567 -2.2430 8.4163
Er Dy Nd Th
4 12 2 2
direct
0.5480 0.1953 0.2983 Er
0.9520 0.7017 0.8047 Er
0.0480 0.2983 0.1953 Er
0.4520 0.8047 0.7017 Er
0.9406 0.8801 0.2497 Dy
0.3169 0.9791 0.4316 Dy
0.1831 0.5684 0.0209 Dy
0.4406 0.2497 0.8801 Dy
0.6831 0.0209 0.5684 Dy
0.8169 0.4316 0.9791 Dy
0.6174 0.4894 0.7031 Dy
0.1174 0.7031 0.4894 Dy
0.0594 0.1199 0.7503 Dy
0.5594 0.7503 0.1199 Dy
0.3826 0.5106 0.2969 Dy
0.8826 0.2969 0.5106 Dy
0.7500 0.0275 0.9725 Nd
0.2500 0.9725 0.0275 Nd
0.7500 0.5931 0.4069 Th
0.2500 0.4069 0.5931 Th
```

## Properties
The density of states at the Fermi level is 14.71 states/eV/f.u. Its formation energy is 139 kJ/mol of formula units.


# 4
DFT (PBE-GGA) results for a geometry-optimized Zr2Sb2Pd structure.

Cell and atoms, written as POSCAR:
```
Zr2Sb2Pd
1.0
-1.0914 6.0577 4.1951
3.6759 -3.2279 5.6173
3.3939 1.5376 -1.3374
Zr Pd Sb
4 2 4
direct
0.8466 0.3466 0.5000 Zr
0.1534 0.6534 0.5000 Zr
0.6534 0.8466 0.5000 Zr
0.3466 0.1534 0.5000 Zr
0.0000 0.0000 0.0000 Pd
0.5000 0.5000 0.0000 Pd
0.8484 0.6516 0.0000 Sb
0.6516 0.1516 0.0000 Sb
0.1516 0.3484 0.0000 Sb
0.3484 0.8484 0.0000 Sb
```

## Properties
The density of states at the Fermi level is 2.42 states/eV/f.u. The value obtained for the polymorph energy (0 for the lowest one) is 0.00 kcal/mol of atoms. The formation energy without anion corrections is -243 kJ/mol of formula units.


# 5
DFT (PBE-GGA) results for a geometry-optimized LiAlSn2 structure.

Cell and atoms, written as POSCAR:
```
LiAlSn2
1.0
-2.3757 0.1500 -2.1085
-0.1060 -2.0547 -2.4248
-6.4369 -7.2493 4.3389
Sn Li Al
2 1 1
direct
0.9094 0.9094 0.2719 Sn
0.0906 0.0906 0.7281 Sn
0.5000 0.5000 0.5000 Li
0.0000 0.0000 0.0000 Al
```

## Properties
The density of states at the Fermi level is 2.16 states/eV/f.u. Its formation energy is 7 kJ/mol of formula units.


# 6
DFT (PBE-GGA) results for a geometry-optimized Ta3CdPb structure.

Cell and atoms, written as POSCAR:
```
Ta3CdPb
1.0
5.1253 0.0000 0.0000
0.0000 5.1253 0.0000
0.0000 0.0000 5.1253
Ta Pb Cd
3 1 1
direct
0.5000 0.0000 0.0000 Ta
0.0000 0.0000 0.5000 Ta
0.0000 0.5000 0.0000 Ta
0.0000 0.0000 0.0000 Pb
0.5000 0.5000 0.5000 Cd
```

## Properties
The density of states at the Fermi level is 8.12 states/eV/f.u. The value obtained for the polymorph energy (0 for the lowest one) is 5.89 kcal/mol of atoms. Its formation energy is 1082 kJ/mol of formula units.


# 7
DFT (PBE-GGA) results for a geometry-optimized ReRuSe2 structure.

Cell and atoms, written as POSCAR:
```
ReRuSe2
1.0
5.1724 -0.0024 0.0028
1.5011 4.9498 -0.0028
-2.3563 -3.7962 2.6059
Se Re Ru
2 1 1
direct
0.4972 0.4972 0.0000 Se
0.0028 0.0028 0.0000 Se
0.2500 0.7500 0.5000 Re
0.7500 0.2500 0.5000 Ru
```

## Properties
The density of states at the Fermi level is 5.00 states/eV/f.u. The value obtained for the polymorph energy (0 for the lowest one) is 18.07 kcal/mol of atoms. The formation energy without anion corrections is 319 kJ/mol of formula units.


# 8
DFT (PBE-GGA) results for a geometry-optimized Ge2Te2PtSe2 structure.

Cell and atoms, written as POSCAR:
```
Ge2Te2PtSe2
1.0
3.8723 -0.0011 -0.0024
1.9375 5.6358 1.1627
-0.0048 2.0925 9.3810
Ge Te Pt Se
2 2 1 2
direct
0.2338 0.5334 0.1786 Ge
0.7662 0.4666 0.8214 Ge
0.5317 0.9354 0.8252 Te
0.4683 0.0646 0.1748 Te
0.0000 0.0000 0.0000 Pt
0.1972 0.6039 0.6427 Se
0.8028 0.3961 0.3573 Se
```

## Properties
The density of states at the Fermi level is 0.25 states/eV/f.u. The formation energy without anion corrections is -186 kJ/mol of formula units.


# 9
DFT (PBE-GGA) results for a geometry-optimized SiMoPb4 structure.

Cell and atoms, written as POSCAR:
```
SiMoPb4
1.0
-2.9659 -1.9384 5.2119
-1.6490 4.1742 4.4244
-6.0759 1.4226 0.8818
Mo Si Pb
1 1 4
direct
0.0000 0.0000 0.0000 Mo
0.7500 0.7500 0.7500 Si
0.3750 0.3750 0.3750 Pb
0.3750 0.3750 0.8749 Pb
0.8749 0.3750 0.3750 Pb
0.3750 0.8749 0.3750 Pb
```

## Properties
The density of states at the Fermi level is 4.08 states/eV/f.u. The formation energy without anion corrections is 628 kJ/mol of formula units.


# 10
DFT (PBE-GGA) results for a geometry-optimized TiGa3Ir structure.

Cell and atoms, written as POSCAR:
```
TiGa3Ir
1.0
-3.6951 -2.9491 -0.4090
1.8178 -2.7510 3.4126
-2.3579 2.5006 3.2719
Ga Ti Ir
3 1 1
direct
0.0000 0.5000 0.0000 Ga
0.0000 0.0000 0.5000 Ga
0.5000 0.0000 0.0000 Ga
0.0000 0.0000 0.0000 Ti
0.5000 0.5000 0.5000 Ir
```

## Properties
The density of states at the Fermi level is 4.11 states/eV/f.u. Its formation energy is 537 kJ/mol of formula units.


# 11
DFT (PBE-GGA) results for a geometry-optimized SbTe2Au structure.

Cell and atoms, written as POSCAR:
```
SbTe2Au
1.0
7.0409 0.1212 0.0000
4.4468 5.4603 0.0000
-5.7439 -2.7908 2.9680
Au Sb Te
1 1 2
direct
0.5000 0.5000 0.0000 Au
0.7500 0.2500 0.5000 Sb
0.0000 0.0000 0.0000 Te
0.2500 0.7500 0.5000 Te
```

## Properties
The density of states at the Fermi level is 2.98 states/eV/f.u. The formation energy without anion corrections is 113 kJ/mol of formula units.


# 12
DFT (PBE-GGA) results for a geometry-optimized SmMg2GaPd4 structure.

Cell and atoms, written as POSCAR:
```
SmMg2GaPd4
1.0
-2.8417 0.9513 3.4696
-2.8141 -3.2403 1.6125
3.6055 -2.9897 6.8017
Pd Ga Mg Sm
4 1 2 1
direct
0.6072 0.6072 0.1783 Pd
0.8708 0.8708 0.3876 Pd
0.3928 0.3928 0.8217 Pd
0.1292 0.1292 0.6124 Pd
0.5000 0.5000 0.5000 Ga
0.7562 0.7562 0.7315 Mg
0.2438 0.2438 0.2685 Mg
0.0000 0.0000 0.0000 Sm
```

## Properties
The density of states at the Fermi level is 4.30 states/eV/f.u. Its formation energy is -540 kJ/mol of formula units.


# 13
DFT (PBE-GGA) results for a geometry-optimized CaLaGa structure.

Cell and atoms, written as POSCAR:
```
CaLaGa
1.0
3.9316 0.0000 0.0000
0.0000 5.1511 0.0000
0.0000 -2.5756 4.4610
Ca Ga La
1 1 1
direct
0.9229 0.0000 0.0000 Ca
0.6925 0.6667 0.3333 Ga
0.3846 0.3333 0.6667 La
```

## Properties
The density of states at the Fermi level is 1.66 states/eV/f.u. The value obtained for the polymorph energy (0 for the lowest one) is 4.97 kcal/mol of atoms. Its formation energy is -66 kJ/mol of formula units.


# 14
DFT (PBE-GGA) results for a geometry-optimized YMg2W structure.

Cell and atoms, written as POSCAR:
```
YMg2W
1.0
-3.4518 -0.8579 -4.3700
-0.7308 -2.1125 -5.1722
-2.1667 -4.9730 0.4280
Mg Y W
2 1 1
direct
0.7715 0.7715 0.7899 Mg
0.0115 0.0115 0.9424 Mg
0.2316 0.2316 0.3193 Y
0.4854 0.4854 0.4483 W
```

## Properties
The density of states at the Fermi level is 2.30 states/eV/f.u. The value obtained for the polymorph energy (0 for the lowest one) is 1.93 kcal/mol of atoms. Its formation energy is 166 kJ/mol of formula units.


# 15
DFT (PBE-GGA) results for a geometry-optimized TePb2 structure.

Cell and atoms, written as POSCAR:
```
TePb2
1.0
-2.0588 2.0588 5.5733
2.0588 -2.0588 5.5733
2.0588 2.0588 -5.5733
Te Pb
1 2
direct
0.0000 0.0000 0.0000 Te
0.3449 0.3449 0.0000 Pb
0.6551 0.6551 0.0000 Pb
```

## Properties
The density of states at the Fermi level is 1.78 states/eV/f.u. The value obtained for the polymorph energy (0 for the lowest one) is 1.36 kcal/mol of atoms. The formation energy without anion corrections is -23 kJ/mol of formula units.


# 16
DFT (PBE-GGA) results for a geometry-optimized BaAgN structure.

Cell and atoms, written as POSCAR:
```
BaAgN
1.0
-1.7770 3.5271 1.8994
3.6760 -2.4226 6.9588
4.2505 2.7594 0.1464
Ba N Ag
2 2 2
direct
0.0113 0.4792 0.5199 Ba
0.0652 0.0013 0.8734 Ba
0.6247 0.1957 0.7690 N
0.4484 0.2781 0.6007 N
0.5318 0.6380 0.9538 Ag
0.5438 0.2520 0.1769 Ag
```

## Properties
The density of states at the Fermi level is 0.74 states/eV/f.u. The formation energy without anion corrections is -26 kJ/mol of formula units.


# 17
DFT (PBE-GGA) results for a geometry-optimized TbHo2Ni structure.

Cell and atoms, written as POSCAR:
```
TbHo2Ni
1.0
-0.9635 -2.6246 -2.3170
-2.5588 -1.4194 5.5150
-7.7681 4.9166 -2.3388
Ho Tb Ni
4 2 2
direct
0.3626 0.7262 0.5698 Ho
0.6374 0.2738 0.0698 Ho
0.3626 0.7262 0.9302 Ho
0.6374 0.2738 0.4302 Ho
0.9193 0.8384 0.2500 Tb
0.0807 0.1616 0.7500 Tb
0.7635 0.5277 0.7500 Ni
0.2365 0.4723 0.2500 Ni
```

## Properties
The density of states at the Fermi level is 5.69 states/eV/f.u. The value obtained for the polymorph energy (0 for the lowest one) is 0.76 kcal/mol of atoms. Its formation energy is -85 kJ/mol of formula units.


# 18
DFT (PBE-GGA) results for a geometry-optimized Li3In3RhO8 structure.

Cell and atoms, written as POSCAR:
```
Li3In3RhO8
1.0
6.4132 0.0000 0.0000
-3.2066 5.5533 -0.0198
0.0000 -3.6864 4.9849
O Li In Rh
8 3 3 1
direct
0.7717 0.0026 0.2744 O
0.7463 0.4926 0.7387 O
0.2283 0.9974 0.7256 O
0.2283 0.4566 0.7256 O
0.2537 0.5074 0.2613 O
0.2309 0.0026 0.2744 O
0.7691 0.9974 0.7256 O
0.7717 0.5434 0.2744 O
0.0000 0.5000 0.0000 Li
0.0000 0.0000 0.0000 Li
0.5000 0.5000 0.0000 Li
0.5000 0.5000 0.5000 In
0.5000 0.0000 0.5000 In
0.0000 0.5000 0.5000 In
0.0000 0.0000 0.5000 Rh
```

## Properties
The density of states at the Fermi level is 7.16 states/eV/f.u. The formation energy without anion corrections is -2163 kJ/mol of formula units.


# 19
DFT (PBE-GGA) results for a geometry-optimized AlReTe structure.

Cell and atoms, written as POSCAR:
```
AlReTe
1.0
3.3677 0.0000 0.0000
-1.6838 2.9155 0.0000
0.0000 0.0000 13.1912
Al Te Re
2 2 2
direct
0.5519 0.1037 0.5000 Al
0.5563 0.1125 0.0000 Al
0.5563 0.1126 0.2662 Te
0.5563 0.1126 0.7338 Te
0.2229 0.4458 0.8719 Re
0.2229 0.4458 0.1281 Re
```

## Properties
The density of states at the Fermi level is 1.21 states/eV/f.u. The value obtained for the polymorph energy (0 for the lowest one) is 0.93 kcal/mol of atoms. The formation energy without anion corrections is 100 kJ/mol of formula units.


# 20
DFT (PBE-GGA) results for a geometry-optimized Nd3ZnGa2Cu6 structure.

Cell and atoms, written as POSCAR:
```
Nd3ZnGa2Cu6
1.0
-4.3475 -1.9953 3.0239
2.5288 -3.3014 -3.8382
5.3073 -2.7195 5.8358
Cu Nd Ga Zn
6 3 2 1
direct
0.6339 0.8169 0.2793 Cu
0.8169 0.6339 0.7207 Cu
0.1831 0.8169 0.2793 Cu
0.1831 0.3661 0.2793 Cu
0.8169 0.1831 0.7207 Cu
0.3661 0.1831 0.7207 Cu
0.0000 0.0000 0.0000 Nd
0.3333 0.6667 0.6258 Nd
0.6667 0.3333 0.3742 Nd
0.6667 0.3333 0.9782 Ga
0.3333 0.6667 0.0218 Ga
0.0000 0.0000 0.5000 Zn
```

## Properties
The density of states at the Fermi level is 7.22 states/eV/f.u. Its formation energy is -151 kJ/mol of formula units.


# 21
DFT (PBE-GGA) results for a geometry-optimized KNiAu structure.

Cell and atoms, written as POSCAR:
```
KNiAu
1.0
-0.3265 -2.9639 0.4642
2.4008 1.0359 -1.5066
3.8212 0.5971 6.4996
Ni K Au
1 1 1
direct
0.6667 0.3333 0.6936 Ni
0.3333 0.6667 0.3437 K
0.0000 0.0000 0.9627 Au
```

## Properties
The density of states at the Fermi level is 2.02 states/eV/f.u. The value obtained for the polymorph energy (0 for the lowest one) is 9.56 kcal/mol of atoms. Its formation energy is 168 kJ/mol of formula units.


# 22
DFT (PBE-GGA) results for a geometry-optimized KAlAg structure.

Cell and atoms, written as POSCAR:
```
KAlAg
1.0
5.0574 0.0000 0.0000
2.5287 4.3799 0.0000
2.5287 1.4600 4.1294
Al Ag K
1 1 1
direct
0.0000 0.0000 0.0000 Al
0.7500 0.7500 0.7500 Ag
0.5000 0.5000 0.5000 K
```

## Properties
The density of states at the Fermi level is 2.13 states/eV/f.u. The value obtained for the polymorph energy (0 for the lowest one) is 7.87 kcal/mol of atoms. Its formation energy is 125 kJ/mol of formula units.


# 23
DFT (PBE-GGA) results for a geometry-optimized Y2InHRh structure.

Cell and atoms, written as POSCAR:
```
Y2InHRh
1.0
-3.4296 3.5883 1.2849
-1.7547 0.0480 -4.8175
-2.4207 -2.6200 0.8556
Y Rh In H
2 1 1 1
direct
0.0000 0.5000 0.0000 Y
0.5000 0.0000 0.0000 Y
0.0000 0.0000 0.5000 Rh
0.5000 0.5000 0.5000 In
0.0000 0.0000 0.0000 H
```

## Properties
The value obtained for the raw total energy is -29.3 eV/cell. The density of states at the Fermi level is 2.55 states/eV/f.u.


# 24
DFT (PBE-GGA) results for a geometry-optimized ErAl7Fe5 structure.

Cell and atoms, written as POSCAR:
```
ErAl7Fe5
1.0
-2.5054 4.3031 4.3125
2.5054 -4.3031 4.3125
2.5054 4.3031 -4.3125
Al Fe Er
7 5 1
direct
0.7739 0.5000 0.2739 Al
0.3332 0.3419 0.9914 Al
0.3395 0.0000 0.3395 Al
0.2137 0.7090 0.5047 Al
0.6603 0.0000 0.6603 Al
0.7957 0.2910 0.5047 Al
0.6495 0.6581 0.9914 Al
0.4990 0.0029 0.0011 Fe
0.4990 0.4979 0.4961 Fe
0.9982 0.5021 0.0011 Fe
0.9982 0.9971 0.4961 Fe
0.2346 0.5000 0.7346 Fe
0.0053 0.0000 0.0053 Er
```

## Properties
The density of states at the Fermi level is 8.91 states/eV/f.u. Its formation energy is -500 kJ/mol of formula units.


# 25
DFT (PBE-GGA) results for a geometry-optimized CaLa2TaAs structure.

Cell and atoms, written as POSCAR:
```
CaLa2TaAs
1.0
-2.9517 2.7486 3.7211
2.4638 -2.8051 4.0264
3.9165 3.8341 0.2746
As Ta La Ca
1 1 2 1
direct
0.5000 0.5000 0.5000 As
0.0000 0.0000 0.0000 Ta
0.5000 0.0000 0.0000 La
0.0000 0.0000 0.5000 La
0.0000 0.5000 0.0000 Ca
```

## Properties
The density of states at the Fermi level is 4.05 states/eV/f.u. Its formation energy is 224 kJ/mol of formula units.


# 26
DFT (PBE-GGA) results for a geometry-optimized GaCoPRh2 structure.

Cell and atoms, written as POSCAR:
```
GaCoPRh2
1.0
4.3297 0.0000 0.0000
0.0000 4.6105 0.0000
0.0000 0.0000 4.3297
Rh Ga Co P
2 1 1 1
direct
0.0000 0.0000 0.5000 Rh
0.5000 0.0000 0.0000 Rh
0.0000 0.5000 0.0000 Ga
0.5000 0.5000 0.5000 Co
0.0000 0.0000 0.0000 P
```

## Properties
The density of states at the Fermi level is 8.37 states/eV/f.u. Its formation energy is 254 kJ/mol of formula units.